Entry 1:
Density functional theory data (GGA-PBE) for an optimized crystal structure of Mg2CdPd2.

abc: 4.007 4.007 12.170
angles: 90.00 90.00 90.00
Space group I4/mmm (No. 139)
Asymmetric unit:
Mg1 0.000 0.500 0.250 (multiplicity 4)
Cd1 0.000 0.000 0.000 (multiplicity 2)
Pd1 0.000 0.000 0.393 (multiplicity 4)

Computed properties:
Total magnetic moment = 0.00 μB/atom
Formation energy from the elements = -28.0 kJ/mol of atoms
N(E_F) = 3.1 states/eV/cell


Entry 2:
Density functional theory data (GGA-PBE) for an optimized crystal structure of TlAsAu2.

abc: 3.106 5.441 10.255
angles: 90.00 90.00 90.00
Space group Imm2 (No. 44)
Asymmetric unit:
Tl1 0.000 0.000 0.000 (multiplicity 2)
As1 0.000 0.500 0.783 (multiplicity 2)
Au1 0.000 0.000 0.494 (multiplicity 2)
Au2 0.000 0.500 0.229 (multiplicity 2)

Computed properties:
Total magnetic moment = 0.00 μB/atom
Formation energy from the elements = 15.8 kJ/mol of atoms
N(E_F) = 2.6 states/eV/cell


Entry 3:
Density functional theory data (GGA-PBE) for an optimized crystal structure of TaHgS2N.

abc: 4.975 4.975 3.917
angles: 90.00 90.00 90.00
Space group P4/mmm (No. 123)
Asymmetric unit:
Ta1 0.000 0.000 0.000 (multiplicity 1)
Hg1 0.500 0.500 0.500 (multiplicity 1)
S1 0.000 0.500 0.000 (multiplicity 2)
N1 0.000 0.000 0.500 (multiplicity 1)

Computed properties:
Total magnetic moment = 0.00 μB/atom
E above lowest polymorph = 0.0000 eV/atom
N(E_F) = 3.2 states/eV/cell
Formation energy without anion corrections = -0.06 eV per atom


Copy entry 1 word for word.
Density functional theory data (GGA-PBE) for an optimized crystal structure of Mg2CdPd2.

abc: 4.007 4.007 12.170
angles: 90.00 90.00 90.00
Space group I4/mmm (No. 139)
Asymmetric unit:
Mg1 0.000 0.500 0.250 (multiplicity 4)
Cd1 0.000 0.000 0.000 (multiplicity 2)
Pd1 0.000 0.000 0.393 (multiplicity 4)

Computed properties:
Total magnetic moment = 0.00 μB/atom
Formation energy from the elements = -28.0 kJ/mol of atoms
N(E_F) = 3.1 states/eV/cell


Q: What is the formula in the first record?
A: Mg2CdPd2